Entry from Alexandria via LeMat-Bulk: a geometry-optimized Pm2HoCdAu4 structure (PBE-GGA).

Cell: 5.0744 5.0744 25.2488 Å, 90.00 90.00 120.00°
Space group R-3m (No. 166, hexagonal axes)
Unique sites:
1 Pm 0.0000 0.0000 0.2425 x6
2 Ho 0.0000 0.0000 0.0000 x3
3 Cd 0.0000 0.0000 0.5000 x3
4 Au 0.0000 0.0000 0.1187 x6
5 Au 0.0000 0.0000 0.3647 x6

Computed properties:
energy of formation from the pure elements: -0.765 eV per atom